Compound: Na2MnO4
Source: the Alexandria database
Functional: PBE with a Hubbard U
Structure: relaxed Values from VASP.

Output
SG: No. 186
DOS(E_F) (states/eV per atom): 0.590
Energy (eV per atom): -5.4306

```
&SYSTEM
  ibrav = 0, nat = 14, ntyp = 3
/
ATOMIC_SPECIES
Na 22.99 Na.upf
Mn 54.94 Mn.upf
O 16.00 O.upf
ATOMIC_POSITIONS crystal
Na 0.3333 0.6667 0.3960
Na 0.6667 0.3333 0.8960
Na 0.0000 0.0000 0.5087
Na 0.0000 0.0000 0.0087
Mn 0.3333 0.6667 0.8303
Mn 0.6667 0.3333 0.3303
O 0.1782 0.8218 0.7450
O 0.8218 0.6436 0.2450
O 0.3564 0.1782 0.2450
O 0.6436 0.8218 0.7450
O 0.1782 0.3564 0.7450
O 0.8218 0.1782 0.2450
O 0.6667 0.3333 0.5729
O 0.3333 0.6667 0.0729
CELL_PARAMETERS angstrom
-3.6053 -3.6863 -2.7780
5.7689 -1.0117 0.0298
-0.6627 -3.6120 5.6530
```